Record 1
Computed, not measured: crystalline Rb2Ga2HAu2 at its relaxed geometry at the PBE-GGA level of DFT.

Cell and atoms, written as extended XYZ:
```
7
Lattice="-4.3328 0.7168 2.0718 -0.8327 -3.7424 5.2441 0.7299 4.5532 5.6416" Properties=species:S:1:pos:R:3 pbc="T T T"
Ga -3.6057 0.2262 3.7622
Au -3.2030 2.1009 9.6462
Ga -0.8299 1.3013 9.1953
H 0.0000 0.0000 0.0000
Rb -2.3514 -1.2026 6.8797
Rb -2.0841 2.7302 6.0779
Au -1.2325 -0.5734 3.3113
```

Computed properties:
The value obtained for the total energy is -2.76 eV per atom. Its theoretical density is 5.89 g cm⁻³. Its density of states at the Fermi level is 0.3329 states/eV/atom.

***

Record 2
Computed, not measured: crystalline Na2Ca2Au3 at its relaxed geometry at the PBE-GGA level of DFT.

Cell and atoms, written as extended XYZ:
```
7
Lattice="4.8915 -0.0001 -1.3647 -2.6331 4.3421 0.0077 -0.2193 -0.1124 8.6522" Properties=species:S:1:pos:R:3 pbc="T T T"
Au 0.3668 3.1979 1.3328
Au 0.0000 0.0000 0.0000
Au 1.6723 1.0318 5.9623
Ca -0.6498 2.5933 7.1008
Ca 2.6890 1.6364 0.1944
Na 0.8521 0.5246 3.0515
Na 1.1870 3.7051 4.2437
```

Computed properties:
The value obtained for the total energy is -2.90 eV per atom. Its theoretical density is 6.54 g cm⁻³. Its density of states at the Fermi level is 0.3997 states/eV/atom.

***

Record 3
Computed, not measured: crystalline Zn3TePt at its relaxed geometry at the PBE-GGA level of DFT.

Cell and atoms, written as extended XYZ:
```
5
Lattice="4.8690 0.0000 0.0000 0.0000 4.8690 0.0000 0.0000 0.0000 4.8690" Properties=species:S:1:pos:R:3 pbc="T T T"
Zn 0.0000 0.0000 2.4345
Te 2.4345 2.4345 2.4345
Pt 0.0000 0.0000 0.0000
Zn 2.4345 0.0000 0.0000
Zn 0.0000 2.4345 0.0000
```

Computed properties:
The value obtained for the total energy is -2.59 eV per atom. As for the energy above the most stable polymorph in this dataset: 0.0000 eV per atom. The formation energy without anion corrections comes out at 0.011 eV per atom. Its theoretical density is 7.47 g cm⁻³. Its density of states at the Fermi level is 0.5924 states/eV/atom.

***

Record 4
Computed, not measured: crystalline RePtN2 at its relaxed geometry at the PBE-GGA level of DFT.

Cell and atoms, written as extended XYZ:
```
4
Lattice="-6.3792 1.0808 -0.9496 -6.1816 0.7097 2.0121 -5.5497 3.3670 0.7922" Properties=species:S:1:pos:R:3 pbc="T T T"
N -1.8593 0.5295 0.1904
Re 0.0000 0.0000 0.0000
Pt -9.0552 2.5787 0.9273
N -16.2512 4.6279 1.6642
```

Computed properties:
The value obtained for the total energy is -7.90 eV per atom. As for the energy above the most stable polymorph in this dataset: 0.7386 eV per atom. The formation energy without anion corrections comes out at 0.880 eV per atom. Its theoretical density is 13.91 g cm⁻³. Its density of states at the Fermi level is 0.8943 states/eV/atom.

***

Record 5
Computed, not measured: crystalline LiMgGaPd2 at its relaxed geometry at the PBE-GGA level of DFT.

Cell and atoms, written as extended XYZ:
```
10
Lattice="3.8068 0.0000 0.0000 0.0000 6.3171 1.3413 0.0000 -1.3249 6.1391" Properties=species:S:1:pos:R:3 pbc="T T T"
Pd 0.9517 1.8680 0.6334
Ga 0.9517 4.9249 6.3127
Pd 2.8551 4.5474 4.3661
Li 0.9517 4.5390 2.5104
Pd 2.8551 3.1242 6.8471
Li 2.8551 0.4532 4.9701
Mg 0.9517 2.5469 4.9290
Pd 0.9517 0.4448 3.1143
Ga 2.8551 0.0672 1.1677
Mg 2.8551 2.4453 2.5514
```

Computed properties:
The value obtained for the total energy is -3.95 eV per atom. Its theoretical density is 6.75 g cm⁻³. Its density of states at the Fermi level is 0.3495 states/eV/atom.

***

Record 6
Computed, not measured: crystalline Ni2SbRu at its relaxed geometry at the PBE-GGA level of DFT.

Cell and atoms, written as extended XYZ:
```
4
Lattice="-0.9595 4.1249 -1.6541 -3.8685 -0.5765 -2.3183 0.9504 -1.1948 4.2827" Properties=species:S:1:pos:R:3 pbc="T T T"
Ni -0.0001 0.0001 -0.0001
Sb -2.6663 0.0017 -0.0112
Ni -1.2110 2.3517 0.3217
Ru -2.4142 1.7744 -1.9864
```

Computed properties:
The value obtained for the total energy is -6.26 eV per atom. The formation energy without anion corrections comes out at -0.017 eV per atom. Its theoretical density is 10.14 g cm⁻³. Its density of states at the Fermi level is 1.5060 states/eV/atom.

***

Record 7
Computed, not measured: crystalline TlAsIr2 at its relaxed geometry at the PBE-GGA level of DFT.

Cell and atoms, written as extended XYZ:
```
4
Lattice="-5.2637 -4.1390 8.1702 -2.5062 -4.4471 9.2484 -3.9668 -1.8784 9.6087" Properties=species:S:1:pos:R:3 pbc="T T T"
As -8.4946 -7.5738 19.5613
Ir -3.0720 -2.7390 7.0743
Ir -11.7265 -10.4553 27.0038
Tl -6.0508 -5.3949 13.9338
```

Computed properties:
The value obtained for the total energy is -5.82 eV per atom. As for the energy above the most stable polymorph in this dataset: 0.1182 eV per atom. Its theoretical density is 13.78 g cm⁻³. Its density of states at the Fermi level is 1.0267 states/eV/atom.

***

Record 8
Computed, not measured: crystalline ThRuPb at its relaxed geometry at the PBE-GGA level of DFT.

Cell and atoms, written as extended XYZ:
```
3
Lattice="4.8002 0.0000 0.0000 2.4001 4.1571 0.0000 2.4001 1.3857 3.9194" Properties=species:S:1:pos:R:3 pbc="T T T"
Th 4.8002 2.7714 1.9597
Ru 2.4001 1.3857 0.9798
Pb 0.0000 0.0000 0.0000
```

Computed properties:
The value obtained for the total energy is -7.03 eV per atom. Its theoretical density is 11.47 g cm⁻³. Its density of states at the Fermi level is 1.5153 states/eV/atom.

***

Record 9
Computed, not measured: crystalline CaPaSnHg at its relaxed geometry at the PBE-GGA level of DFT.

Cell and atoms, written as extended XYZ:
```
4
Lattice="-2.8113 3.5773 2.8059 -5.3380 -0.2692 0.0867 -2.5285 -1.4961 4.4657" Properties=species:S:1:pos:R:3 pbc="T T T"
Ca 0.0000 0.0000 0.0000
Pa -5.3389 0.9061 3.6792
Sn -2.6695 0.4530 1.8396
Hg -8.0084 1.3591 5.5187
```

Computed properties:
The value obtained for the total energy is -4.11 eV per atom. Its theoretical density is 9.08 g cm⁻³. Its density of states at the Fermi level is 1.5941 states/eV/atom.

***

Record 10
Computed, not measured: crystalline KAs3 at its relaxed geometry at the PBE-GGA level of DFT.

Cell and atoms, written as extended XYZ:
```
4
Lattice="6.0055 -0.0080 0.0075 2.1408 5.6110 -0.0075 -3.1323 -4.1694 2.9784" Properties=species:S:1:pos:R:3 pbc="T T T"
K 1.5408 2.1216 1.4855
As 3.4732 -0.6879 1.4930
As 4.5376 3.1210 0.0000
As 7.6818 5.2835 0.0000
```

Computed properties:
The value obtained for the total energy is -3.69 eV per atom. As for the energy above the most stable polymorph in this dataset: 0.1979 eV per atom. Its theoretical density is 4.37 g cm⁻³. Its density of states at the Fermi level is 0.5282 states/eV/atom.

***

Record 11
Computed, not measured: crystalline ZnRu2Rh at its relaxed geometry at the PBE-GGA level of DFT.

Cell and atoms, written as extended XYZ:
```
4
Lattice="4.7973 0.0062 0.0000 -2.0374 4.3432 0.0000 0.0000 0.0000 2.7028" Properties=species:S:1:pos:R:3 pbc="T T T"
Ru 1.3800 2.1747 0.0000
Ru 0.0000 0.0000 0.0000
Zn 2.3987 0.0031 1.3514
Rh -1.0187 2.1716 1.3514
```

Computed properties:
The value obtained for the total energy is -6.66 eV per atom. Its theoretical density is 10.92 g cm⁻³. Its density of states at the Fermi level is 1.4096 states/eV/atom.

***

Record 12
Computed, not measured: crystalline Th2Be3FeB12 at its relaxed geometry at the PBE-GGA level of DFT.

Cell and atoms, written as extended XYZ:
```
18
Lattice="-2.3847 -3.9188 -6.1493 -5.8139 -4.7039 -1.7116 -6.0796 0.1125 -4.6780" Properties=species:S:1:pos:R:3 pbc="T T T"
Fe 0.0000 0.0000 0.0000
B -4.3939 -3.3299 -1.9106
B -3.0600 -1.4453 -3.7243
B -4.5464 -0.5654 -3.6132
B -4.1077 -1.6852 -2.3684
B -11.2994 -5.5932 -9.7210
Be -2.9069 -2.3519 -0.8558
B -10.1704 -6.8249 -10.1705
Th -5.2367 -3.1212 -4.5988
B -2.9788 -2.9170 -2.8179
Be -1.1924 -1.9594 -3.0746
B -11.2182 -7.0648 -8.8146
B -2.4257 -2.8792 -4.4577
B -9.8842 -5.1803 -10.6283
B -9.7317 -7.9448 -8.9257
Th -9.0415 -5.3889 -7.9401
Be -3.0398 0.0563 -2.3390
B -11.8524 -5.6309 -8.0812
```

Computed properties:
The value obtained for the total energy is -6.27 eV per atom. Its theoretical density is 5.83 g cm⁻³. Its density of states at the Fermi level is 0.2918 states/eV/atom.